First-principles (PBE) data for DyMgIn4 after structural relaxation, as listed in Alexandria via LeMat-Bulk.

Output
Raw total energy = -17.6 eV/cell
Magnetization = 0.00 μB/atom
Calculated volume = 155.1 Å³ per cell
Energy of formation = -0.4 eV per formula unit
Crystal system = cubic
D(E_F) = 0.73 states/eV per atom

Lattice parameters (Å, degrees): 6.0310 6.0310 6.0310 60.00 60.00 60.00
With the nearest neighbours (Å) after each atom.
Fractional coordinates of all 6 atoms:
Mg 0.2500 0.2500 0.2500  12 In 3.54, 4 Dy 3.69
In 0.6251 0.6251 0.1247  6 In 3.01-3.02
In 0.6251 0.1247 0.6251  6 In 3.01-3.02
In 0.6251 0.6251 0.6251  6 In 3.01-3.02
In 0.1247 0.6251 0.6251  6 In 3.01-3.02
Dy 0.0000 0.0000 0.0000  12 In 3.54, 4 Mg 3.69